Crystalline AlH2Pt2 at its relaxed geometry, computed with PBE.

Summary:
Final energy (eV for the cell shown): -46.24
Mass density (kg/m³): 10120
Energy above the most stable polymorph in this dataset (meV per atom): 196

CIF file:
```
data_AlH2Pt2
_chemical_formula_sum 'Al2 H4 Pt4'
_space_group_name_H-M_alt 'P 4/m b m'
_space_group_IT_number 127
_space_group_name_Hall '-P 4 2ab'
_cell_length_a 6.270
_cell_length_b 6.270
_cell_length_c 3.499
_cell_angle_alpha 90.00
_cell_angle_beta 90.00
_cell_angle_gamma 90.00
loop_
_atom_site_label
_atom_site_type_symbol
_atom_site_fract_x
_atom_site_fract_y
_atom_site_fract_z
Al1 Al 0.000 0.000 0.000
H1 H 0.145 0.355 0.500
Pt1 Pt 0.147 0.353 0.000
```